A plane-wave DFT calculation with PBE was carried out for a relaxed PmPaTeAu crystal.

Results
- ΔE_f (raw) (meV/atom) = -516

Cell and atoms, written as CIF:
```
data_PmPaTeAu
_chemical_formula_sum 'Pm1 Pa1 Te1 Au1'
_symmetry_space_group_name_H-M 'P 1'
_symmetry_Int_Tables_number 1
_cell_length_a 5.285
_cell_length_b 5.285
_cell_length_c 5.285
_cell_angle_alpha 60.00
_cell_angle_beta 60.00
_cell_angle_gamma 60.00
loop_
_symmetry_equiv_pos_as_xyz
'x,y,z'
loop_
_atom_site_label
_atom_site_type_symbol
_atom_site_fract_x
_atom_site_fract_y
_atom_site_fract_z
Pm1 Pm 0.000 0.000 0.000
Pa1 Pa 0.500 0.500 0.500
Te1 Te 0.250 0.250 0.250
Au1 Au 0.750 0.750 0.750
```


A plane-wave DFT calculation with PBE was carried out for a relaxed La2PmHo9 crystal.

Results
- energy of formation (meV/atom) = 85
- energy above the lowest structure with this stoichiometry (meV per atom) = 55

Cell and atoms, written as CIF:
```
data_La2PmHo9
_chemical_formula_sum 'La2 Pm1 Ho9'
_symmetry_space_group_name_H-M 'P 1'
_symmetry_Int_Tables_number 1
_cell_length_a 11.344
_cell_length_b 11.344
_cell_length_c 3.497
_cell_angle_alpha 90.00
_cell_angle_beta 90.00
_cell_angle_gamma 120.00
loop_
_symmetry_equiv_pos_as_xyz
'x,y,z'
loop_
_atom_site_label
_atom_site_type_symbol
_atom_site_fract_x
_atom_site_fract_y
_atom_site_fract_z
La1 La 0.333 0.667 0.000
La2 La 0.667 0.333 0.000
Pm1 Pm 0.000 0.000 0.000
Ho1 Ho 0.000 0.500 0.000
Ho2 Ho 0.173 0.346 0.500
Ho3 Ho 0.173 0.827 0.500
Ho4 Ho 0.346 0.173 0.500
Ho5 Ho 0.500 0.000 0.000
Ho6 Ho 0.500 0.500 0.000
Ho7 Ho 0.654 0.827 0.500
Ho8 Ho 0.827 0.173 0.500
Ho9 Ho 0.827 0.654 0.500
```


A plane-wave DFT calculation with PBE was carried out for a relaxed Nb2VSbAu crystal.

Results
- ΔE_f (raw) (meV/atom) = 1667

Cell and atoms, written as CIF:
```
data_Nb2VSbAu
_chemical_formula_sum 'Nb2 V1 Sb1 Au1'
_symmetry_space_group_name_H-M 'P 1'
_symmetry_Int_Tables_number 1
_cell_length_a 5.067
_cell_length_b 5.067
_cell_length_c 4.897
_cell_angle_alpha 90.00
_cell_angle_beta 90.00
_cell_angle_gamma 90.00
loop_
_symmetry_equiv_pos_as_xyz
'x,y,z'
loop_
_atom_site_label
_atom_site_type_symbol
_atom_site_fract_x
_atom_site_fract_y
_atom_site_fract_z
Nb1 Nb 0.000 0.500 0.000
Nb2 Nb 0.500 0.000 0.000
V1 V 0.000 0.000 0.500
Sb1 Sb 0.500 0.500 0.000
Au1 Au 0.500 0.500 0.500
```


A plane-wave DFT calculation with PBE was carried out for a relaxed DyPuTc crystal.

Results
- energy of formation (meV/atom) = 72
- energy above the lowest structure with this stoichiometry (meV per atom) = 46

Cell and atoms, written as CIF:
```
data_DyPuTc
_chemical_formula_sum 'Dy1 Pu1 Tc1'
_symmetry_space_group_name_H-M 'P 1'
_symmetry_Int_Tables_number 1
_cell_length_a 4.657
_cell_length_b 4.657
_cell_length_c 3.552
_cell_angle_alpha 90.00
_cell_angle_beta 90.00
_cell_angle_gamma 120.00
loop_
_symmetry_equiv_pos_as_xyz
'x,y,z'
loop_
_atom_site_label
_atom_site_type_symbol
_atom_site_fract_x
_atom_site_fract_y
_atom_site_fract_z
Dy1 Dy 0.000 0.000 0.000
Pu1 Pu 0.333 0.667 0.500
Tc1 Tc 0.667 0.333 0.500
```


A plane-wave DFT calculation with PBE was carried out for a relaxed ReOsPt2 crystal.

Results
- energy of formation (meV/atom) = 81
- energy above the lowest structure with this stoichiometry (meV per atom) = 166

Cell and atoms, written as CIF:
```
data_ReOsPt2
_chemical_formula_sum 'Re1 Os1 Pt2'
_symmetry_space_group_name_H-M 'P 1'
_symmetry_Int_Tables_number 1
_cell_length_a 4.807
_cell_length_b 4.807
_cell_length_c 4.790
_cell_angle_alpha 99.68
_cell_angle_beta 99.68
_cell_angle_gamma 33.44
loop_
_symmetry_equiv_pos_as_xyz
'x,y,z'
loop_
_atom_site_label
_atom_site_type_symbol
_atom_site_fract_x
_atom_site_fract_y
_atom_site_fract_z
Re1 Re 0.000 0.000 0.000
Os1 Os 0.500 0.500 0.500
Pt1 Pt 0.250 0.250 0.752
Pt2 Pt 0.750 0.750 0.248
```


A plane-wave DFT calculation with PBE was carried out for a relaxed LiTm2ScS5 crystal.

Results
- ΔE_f (raw) (meV/atom) = -1819

Cell and atoms, written as CIF:
```
data_LiTm2ScS5
_chemical_formula_sum 'Li2 Tm4 Sc2 S10'
_symmetry_space_group_name_H-M 'P 1'
_symmetry_Int_Tables_number 1
_cell_length_a 8.111
_cell_length_b 8.111
_cell_length_c 11.526
_cell_angle_alpha 90.00
_cell_angle_beta 90.00
_cell_angle_gamma 152.97
loop_
_symmetry_equiv_pos_as_xyz
'x,y,z'
loop_
_atom_site_label
_atom_site_type_symbol
_atom_site_fract_x
_atom_site_fract_y
_atom_site_fract_z
Li1 Li 0.017 0.983 0.500
Li2 Li 0.983 0.017 0.000
Tm1 Tm 0.372 0.628 0.317
Tm2 Tm 0.394 0.606 0.707
Tm3 Tm 0.606 0.394 0.207
Tm4 Tm 0.628 0.372 0.817
Sc1 Sc 0.302 0.698 0.028
Sc2 Sc 0.698 0.302 0.528
S1 S 0.002 0.998 0.804
S2 S 0.138 0.862 0.024
S3 S 0.193 0.807 0.373
S4 S 0.218 0.782 0.684
S5 S 0.448 0.552 0.095
S6 S 0.552 0.448 0.595
S7 S 0.782 0.218 0.184
S8 S 0.807 0.193 0.873
S9 S 0.862 0.138 0.524
S10 S 0.998 0.002 0.304
```


A plane-wave DFT calculation with PBE was carried out for a relaxed Mn2HgAu crystal.

Results
- energy of formation (meV/atom) = 293

Cell and atoms, written as CIF:
```
data_Mn2HgAu
_chemical_formula_sum 'Mn2 Hg1 Au1'
_symmetry_space_group_name_H-M 'P 1'
_symmetry_Int_Tables_number 1
_cell_length_a 4.623
_cell_length_b 4.623
_cell_length_c 4.623
_cell_angle_alpha 60.00
_cell_angle_beta 60.00
_cell_angle_gamma 60.00
loop_
_symmetry_equiv_pos_as_xyz
'x,y,z'
loop_
_atom_site_label
_atom_site_type_symbol
_atom_site_fract_x
_atom_site_fract_y
_atom_site_fract_z
Mn1 Mn 0.000 0.000 0.000
Mn2 Mn 0.250 0.250 0.250
Hg1 Hg 0.500 0.500 0.500
Au1 Au 0.750 0.750 0.750
```


A plane-wave DFT calculation with PBE was carried out for a relaxed CaHoGeRh crystal.

Results
- energy of formation (meV/atom) = -584

Cell and atoms, written as CIF:
```
data_CaHoGeRh
_chemical_formula_sum 'Ca1 Ho1 Ge1 Rh1'
_symmetry_space_group_name_H-M 'P 1'
_symmetry_Int_Tables_number 1
_cell_length_a 4.942
_cell_length_b 4.942
_cell_length_c 4.942
_cell_angle_alpha 60.00
_cell_angle_beta 60.00
_cell_angle_gamma 60.00
loop_
_symmetry_equiv_pos_as_xyz
'x,y,z'
loop_
_atom_site_label
_atom_site_type_symbol
_atom_site_fract_x
_atom_site_fract_y
_atom_site_fract_z
Ca1 Ca 0.000 0.000 0.000
Ho1 Ho 0.500 0.500 0.500
Ge1 Ge 0.750 0.750 0.750
Rh1 Rh 0.250 0.250 0.250
```


A plane-wave DFT calculation with PBE was carried out for a relaxed Y2AgPb crystal.

Results
- energy of formation (meV/atom) = -249

Cell and atoms, written as CIF:
```
data_Y2AgPb
_chemical_formula_sum 'Y2 Ag1 Pb1'
_symmetry_space_group_name_H-M 'P 1'
_symmetry_Int_Tables_number 1
_cell_length_a 4.915
_cell_length_b 4.915
_cell_length_c 6.947
_cell_angle_alpha 101.87
_cell_angle_beta 101.87
_cell_angle_gamma 44.56
loop_
_symmetry_equiv_pos_as_xyz
'x,y,z'
loop_
_atom_site_label
_atom_site_type_symbol
_atom_site_fract_x
_atom_site_fract_y
_atom_site_fract_z
Y1 Y 0.245 0.245 0.231
Y2 Y 0.755 0.755 0.769
Ag1 Ag 0.500 0.500 0.000
Pb1 Pb 0.000 0.000 0.500
```


A plane-wave DFT calculation with PBE was carried out for a relaxed CaPm2Tl4Cd crystal.

Results
- energy of formation (meV/atom) = -295

Cell and atoms, written as CIF:
```
data_CaPm2Tl4Cd
_chemical_formula_sum 'Ca1 Pm2 Tl4 Cd1'
_symmetry_space_group_name_H-M 'P 1'
_symmetry_Int_Tables_number 1
_cell_length_a 9.622
_cell_length_b 9.622
_cell_length_c 9.622
_cell_angle_alpha 32.30
_cell_angle_beta 32.30
_cell_angle_gamma 32.30
loop_
_symmetry_equiv_pos_as_xyz
'x,y,z'
loop_
_atom_site_label
_atom_site_type_symbol
_atom_site_fract_x
_atom_site_fract_y
_atom_site_fract_z
Ca1 Ca 0.000 0.000 0.000
Pm1 Pm 0.241 0.241 0.241
Pm2 Pm 0.759 0.759 0.759
Tl1 Tl 0.122 0.122 0.122
Tl2 Tl 0.373 0.373 0.373
Tl3 Tl 0.627 0.627 0.627
Tl4 Tl 0.878 0.878 0.878
Cd1 Cd 0.500 0.500 0.500
```


A plane-wave DFT calculation with PBE was carried out for a relaxed ScNbCu2 crystal.

Results
- energy of formation (meV/atom) = 386
- energy above the lowest structure with this stoichiometry (meV per atom) = 403

Cell and atoms, written as CIF:
```
data_ScNbCu2
_chemical_formula_sum 'Sc2 Nb2 Cu4'
_symmetry_space_group_name_H-M 'P 1'
_symmetry_Int_Tables_number 1
_cell_length_a 5.731
_cell_length_b 5.731
_cell_length_c 5.731
_cell_angle_alpha 102.03
_cell_angle_beta 102.03
_cell_angle_gamma 125.66
loop_
_symmetry_equiv_pos_as_xyz
'x,y,z'
loop_
_atom_site_label
_atom_site_type_symbol
_atom_site_fract_x
_atom_site_fract_y
_atom_site_fract_z
Sc1 Sc 0.000 0.000 0.000
Sc2 Sc 0.750 0.250 0.500
Nb1 Nb 0.250 0.750 0.500
Nb2 Nb 0.500 0.500 0.000
Cu1 Cu 0.134 0.625 0.009
Cu2 Cu 0.375 0.384 0.509
Cu3 Cu 0.616 0.125 0.991
Cu4 Cu 0.875 0.866 0.491
```


A plane-wave DFT calculation with PBE was carried out for a relaxed ScBeRu2 crystal.

Results
- energy of formation (meV/atom) = -100

Cell and atoms, written as CIF:
```
data_ScBeRu2
_chemical_formula_sum 'Sc1 Be1 Ru2'
_symmetry_space_group_name_H-M 'P 1'
_symmetry_Int_Tables_number 1
_cell_length_a 7.391
_cell_length_b 7.391
_cell_length_c 7.391
_cell_angle_alpha 23.55
_cell_angle_beta 23.55
_cell_angle_gamma 23.55
loop_
_symmetry_equiv_pos_as_xyz
'x,y,z'
loop_
_atom_site_label
_atom_site_type_symbol
_atom_site_fract_x
_atom_site_fract_y
_atom_site_fract_z
Sc1 Sc 0.000 0.000 0.000
Be1 Be 0.500 0.500 0.500
Ru1 Ru 0.235 0.235 0.235
Ru2 Ru 0.765 0.765 0.765
```